An optimized crystal structure of CaPm2Hg5. Source: the Alexandria database, functional PBE.

Cell: 5.1897 5.1897 8.6206 Å, 107.52 107.52 90.00°
With the nearest neighbours (Å) after each atom.
Sites, in units of the cell vectors:
Hg: 0.8768 0.3768 0.7536  4 Pm 3.14-3.40, 2 Ca 3.23, 2 Hg 3.23
Hg: 0.3768 0.8768 0.7536  4 Pm 3.14-3.40, 2 Hg 3.23, 2 Ca 3.23
Hg: 0.6232 0.1232 0.2464  4 Pm 3.14-3.40, 2 Hg 3.23, 2 Ca 3.23
Hg: 0.1232 0.6232 0.2464  4 Pm 3.14-3.40, 2 Ca 3.23, 2 Hg 3.23
Hg: 0.5000 0.5000 0.0000  8 Hg 3.23
Pm: 0.7362 0.7362 0.4725  8 Hg 3.14-3.40
Pm: 0.2638 0.2638 0.5275  8 Hg 3.14-3.40
Ca: 0.0000 0.0000 0.0000  8 Hg 3.23

Values from the calculation:
ΔE_f = -0.421 eV/atom
DOS(E_F) = 5.94 states/eV per cell
Space-group type = I4/mmm
Size of the total moment = 0.13 μB/f.u.
Crystal system = tetragonal

---

An optimized crystal structure of CaPm2Hg3. Source: the Alexandria database, functional PBE.

Cell: 3.7846 3.7846 11.5691 Å, 90.00 90.00 90.00°
With the nearest neighbours (Å) after each atom.
Sites, in units of the cell vectors:
Hg: 0.0000 0.0000 0.6696  4 Pm 3.29, 4 Ca 3.32
Hg: 0.0000 0.0000 0.3304  4 Pm 3.29, 4 Ca 3.32
Hg: 0.0000 0.0000 0.0000  8 Pm 3.29
Pm: 0.5000 0.5000 0.1656  8 Hg 3.29
Pm: 0.5000 0.5000 0.8344  8 Hg 3.29
Ca: 0.5000 0.5000 0.5000  8 Hg 3.32

Values from the calculation:
Energy above the lowest structure with this stoichiometry = 0.010 eV/atom
ΔE_f = -0.510 eV/atom
DOS(E_F) = 4.95 states/eV per cell
Space-group type = P4/mmm
Size of the total moment = 0.30 μB/f.u.
Crystal system = tetragonal

---

An optimized crystal structure of Ca5PmHg4. Source: the Alexandria database, functional PBE.

Cell: 3.7597 3.7597 20.6848 Å, 90.00 90.00 90.00°
With the nearest neighbours (Å) after each atom.
Sites, in units of the cell vectors:
Hg: 0.0000 0.0000 0.5916  8 Ca 3.27-3.28
Hg: 0.0000 0.0000 0.4084  8 Ca 3.27-3.28
Hg: 0.0000 0.0000 0.7790  8 Ca 3.22-3.30
Hg: 0.0000 0.0000 0.2210  8 Ca 3.22-3.30
Ca: 0.5000 0.5000 0.1328  4 Hg 3.22
Ca: 0.5000 0.5000 0.8672  4 Hg 3.22
Ca: 0.5000 0.5000 0.6846  8 Hg 3.28-3.30
Ca: 0.5000 0.5000 0.3154  8 Hg 3.28-3.30
Ca: 0.5000 0.5000 0.5000  8 Hg 3.27
Pm: 0.0000 0.0000 0.0000  4 Pm 3.76, 8 Ca 3.82

Values from the calculation:
ΔE_f = -0.401 eV/atom
DOS(E_F) = 12.76 states/eV per cell
Space-group type = P4/mmm
Size of the total moment = 0.00 μB/f.u.
Crystal system = tetragonal

---

An optimized crystal structure of CaPm3Hg6. Source: the Alexandria database, functional PBE.

Cell: 5.2191 9.3992 11.3899 Å, 107.04 90.00 90.00°
With the nearest neighbours (Å) after each atom.
Sites, in units of the cell vectors:
Pm: 0.2500 0.7751 0.9868  8 Hg 3.14-3.46
Pm: 0.7500 0.6453 0.2071  8 Hg 3.15-3.38
Pm: 0.7500 0.4852 0.6179  8 Hg 3.08-3.43
Pm: 0.2500 0.3547 0.7929  8 Hg 3.15-3.38
Pm: 0.2500 0.5148 0.3821  8 Hg 3.08-3.43
Pm: 0.7500 0.2249 0.0132  8 Hg 3.14-3.46
Hg: 0.7500 0.1602 0.6978  4 Pm 3.19-3.46, 3 Ca 3.26-3.30, 1 Hg 3.43
Hg: 0.2500 0.6615 0.6957  5 Pm 3.08-3.43, 1 Ca 3.12, 2 Hg 3.23
Hg: 0.7500 0.5360 0.9161  7 Pm 3.17-3.42, 2 Hg 3.42
Hg: 0.7500 0.9356 0.1116  1 Ca 3.13, 4 Pm 3.14-3.23, 3 Hg 3.22-3.32
Hg: 0.2500 0.2498 0.5040  4 Pm 3.15-3.42, 3 Ca 3.20-3.39, 1 Hg 3.39
Hg: 0.7500 0.8577 0.8078  8 Hg 3.22-3.59, 4 Pm 3.54-3.56
Hg: 0.2500 0.1423 0.1922  8 Hg 3.22-3.59, 4 Pm 3.54-3.56
Hg: 0.2500 0.4640 0.0839  7 Pm 3.17-3.42, 2 Hg 3.42
Hg: 0.2500 0.0644 0.8884  1 Ca 3.13, 4 Pm 3.14-3.23, 3 Hg 3.22-3.32
Hg: 0.7500 0.3385 0.3043  5 Pm 3.08-3.43, 1 Ca 3.12, 2 Hg 3.23
Hg: 0.7500 0.7502 0.4960  4 Pm 3.15-3.42, 3 Ca 3.20-3.39, 1 Hg 3.39
Hg: 0.2500 0.8398 0.3022  4 Pm 3.19-3.46, 3 Ca 3.26-3.30, 1 Hg 3.43
Ca: 0.7500 0.0576 0.3981  8 Hg 3.12-3.39
Ca: 0.2500 0.9424 0.6019  8 Hg 3.12-3.39

Values from the calculation:
ΔE_f = -0.443 eV/atom
DOS(E_F) = 14.51 states/eV per cell
Space-group type = P2_1/m
Size of the total moment = 0.00 μB/f.u.
Crystal system = monoclinic

---

An optimized crystal structure of CaPm2Hg3. Source: the Alexandria database, functional PBE.

Cell: 5.3724 5.3724 13.1697 Å, 90.00 90.00 120.00°
With the nearest neighbours (Å) after each atom.
Sites, in units of the cell vectors:
Pm: 0.0000 0.0000 0.0000  8 Hg 3.29-3.30
Pm: 0.6667 0.3333 0.8290  8 Hg 3.24-3.35
Pm: 0.3333 0.6667 0.1710  8 Hg 3.24-3.35
Pm: 0.0000 0.0000 0.5000  8 Hg 3.28-3.29
Ca: 0.6667 0.3333 0.3338  8 Hg 3.28-3.30
Ca: 0.3333 0.6667 0.6662  8 Hg 3.28-3.30
Hg: 0.6667 0.3333 0.5829  4 Pm 3.24-3.29, 4 Ca 3.28-3.29
Hg: 0.0000 0.0000 0.2508  5 Pm 3.27-3.30, 3 Ca 3.29
Hg: 0.3333 0.6667 0.9170  7 Pm 3.29-3.35, 1 Ca 3.30
Hg: 0.3333 0.6667 0.4171  4 Pm 3.24-3.29, 4 Ca 3.28-3.29
Hg: 0.0000 0.0000 0.7492  5 Pm 3.27-3.30, 3 Ca 3.29
Hg: 0.6667 0.3333 0.0830  7 Pm 3.29-3.35, 1 Ca 3.30

Values from the calculation:
Energy above the lowest structure with this stoichiometry = 0.000 eV/atom
ΔE_f = -0.520 eV/atom
DOS(E_F) = 11.99 states/eV per cell
Space-group type = P-3m1
Size of the total moment = 0.13 μB/f.u.
Crystal system = trigonal

---

An optimized crystal structure of CaPmHg. Source: the Alexandria database, functional PBE.

Cell: 7.6963 8.2352 7.6963 Å, 66.98 80.61 113.02°
With the nearest neighbours (Å) after each atom.
Sites, in units of the cell vectors:
Pm: 0.1575 0.6696 0.0400  3 Hg 3.11-3.33
Pm: 0.2100 0.1696 0.0925  3 Hg 3.11-3.33
Pm: 0.2904 0.3304 0.5121  3 Hg 3.11-3.33
Pm: 0.7379 0.8304 0.9596  3 Hg 3.11-3.33
Hg: 0.5029 0.1240 0.8063  3 Pm 3.11-3.33, 3 Ca 3.13-3.43
Hg: 0.6289 0.3760 0.1803  3 Pm 3.11-3.33, 3 Ca 3.13-3.43
Hg: 0.4437 0.6240 0.7471  3 Pm 3.11-3.33, 3 Ca 3.13-3.43
Hg: 0.0697 0.8760 0.6211  3 Pm 3.11-3.33, 3 Ca 3.13-3.43
Ca: 0.7959 0.1346 0.4595  3 Hg 3.13-3.43, 1 Ca 3.48
Ca: 0.7905 0.6346 0.4541  3 Hg 3.13-3.43, 1 Ca 3.48
Ca: 0.9113 0.3654 0.8441  3 Hg 3.13-3.43, 1 Ca 3.48
Ca: 0.4059 0.8654 0.3387  3 Hg 3.13-3.43, 1 Ca 3.48

Values from the calculation:
Energy above the lowest structure with this stoichiometry = 0.075 eV/atom
ΔE_f = -0.235 eV/atom
DOS(E_F) = 11.34 states/eV per cell
Space-group type = Fdd2
Size of the total moment = 0.00 μB/f.u.
Crystal system = orthorhombic

---

An optimized crystal structure of CaPm3Hg. Source: the Alexandria database, functional PBE.

Cell: 6.9515 6.9515 8.9629 Å, 88.16 120.38 112.91°
With the nearest neighbours (Å) after each atom.
Sites, in units of the cell vectors:
Ca: 0.3289 0.9418 0.2706  2 Hg 3.42-3.45, 1 Ca 3.47, 6 Pm 3.59-3.69
Ca: 0.6711 0.0582 0.7294  2 Hg 3.42-3.45, 1 Ca 3.47, 6 Pm 3.59-3.69
Hg: 0.2448 0.2563 0.5012  6 Pm 3.28-3.43, 2 Ca 3.42-3.45
Hg: 0.7552 0.7437 0.4988  6 Pm 3.28-3.43, 2 Ca 3.42-3.45
Pm: 0.7368 0.9159 0.1473  2 Hg 3.28-3.29, 4 Pm 3.55-3.63, 2 Ca 3.59-3.61
Pm: 0.7686 0.5895 0.8527  2 Hg 3.28-3.29, 4 Pm 3.55-3.63, 2 Ca 3.59-3.61
Pm: 0.1869 0.5555 0.7424  2 Hg 3.31-3.43, 7 Pm 3.55-3.67
Pm: 0.8131 0.4445 0.2576  2 Hg 3.31-3.43, 7 Pm 3.55-3.67
Pm: 0.2314 0.4105 0.1473  2 Hg 3.28-3.29, 4 Pm 3.55-3.63, 2 Ca 3.59-3.61
Pm: 0.2632 0.0841 0.8527  2 Hg 3.28-3.29, 4 Pm 3.55-3.63, 2 Ca 3.59-3.61

Values from the calculation:
ΔE_f = -0.094 eV/atom
DOS(E_F) = 11.52 states/eV per cell
Space-group type = C2/m
Size of the total moment = 0.00 μB/f.u.
Crystal system = monoclinic

---

An optimized crystal structure of CaPmHg. Source: the Alexandria database, functional PBE.

Cell: 5.2254 5.2254 5.2254 Å, 60.00 60.00 60.00°
With the nearest neighbours (Å) after each atom.
Sites, in units of the cell vectors:
Pm: 0.0000 0.0000 0.0000  4 Hg 3.20
Hg: 0.2500 0.2500 0.2500  4 Ca 3.20, 4 Pm 3.20
Ca: 0.5000 0.5000 0.5000  4 Hg 3.20

Values from the calculation:
Energy above the lowest structure with this stoichiometry = 0.112 eV/atom
ΔE_f = -0.199 eV/atom
DOS(E_F) = 4.06 states/eV per cell
Space-group type = F-43m
Size of the total moment = 0.00 μB/f.u.
Crystal system = cubic

---

An optimized crystal structure of Ca3Pm12Hg5. Source: the Alexandria database, functional PBE.

Cell: 16.1660 16.1660 16.1660 Å, 109.47 109.47 109.47°
With the nearest neighbours (Å) after each atom.
Sites, in units of the cell vectors:
Hg: 0.0000 0.0000 0.5000  6 Pm 2.99
Hg: 0.1250 0.7500 0.3750  4 Pm 3.00
Hg: 0.8750 0.6250 0.7500  4 Pm 3.00
Hg: 0.5000 0.0000 0.0000  6 Pm 2.99
Hg: 0.7500 0.6250 0.3750  4 Pm 3.00
Hg: 0.8750 0.2500 0.6250  4 Pm 3.00
Hg: 0.7500 0.1250 0.8750  4 Pm 3.00
Hg: 0.6250 0.7500 0.8750  4 Pm 3.00
Hg: 0.5000 0.5000 0.0000  6 Pm 2.99
Hg: 0.0000 0.0000 0.0000  6 Pm 2.99
Hg: 0.3750 0.1250 0.7500  4 Pm 3.00
Hg: 0.2500 0.8750 0.1250  4 Pm 3.00
Hg: 0.5000 0.5000 0.5000  6 Pm 2.99
Hg: 0.2500 0.3750 0.6250  4 Pm 3.00
Hg: 0.0000 0.5000 0.0000  6 Pm 2.99
Hg: 0.1250 0.3750 0.2500  4 Pm 3.00
Hg: 0.6250 0.8750 0.2500  4 Pm 3.00
Hg: 0.0000 0.5000 0.5000  6 Pm 2.99
Hg: 0.5000 0.0000 0.5000  6 Pm 2.99
Hg: 0.3750 0.2500 0.1250  4 Pm 3.00
Ca: 0.1250 0.2500 0.8750  8 Pm 3.46-3.68
Ca: 0.6250 0.3750 0.7500  8 Pm 3.46-3.68
Ca: 0.7500 0.8750 0.6250  8 Pm 3.46-3.68
Ca: 0.2500 0.1250 0.3750  8 Pm 3.46-3.68
Ca: 0.1250 0.8750 0.7500  8 Pm 3.46-3.68
Ca: 0.3750 0.7500 0.6250  8 Pm 3.46-3.68
Ca: 0.2500 0.6250 0.8750  8 Pm 3.46-3.68
Ca: 0.7500 0.3750 0.1250  8 Pm 3.46-3.68
Ca: 0.3750 0.6250 0.2500  8 Pm 3.46-3.68
Ca: 0.8750 0.7500 0.1250  8 Pm 3.46-3.68
Ca: 0.8750 0.1250 0.2500  8 Pm 3.46-3.68
Ca: 0.6250 0.2500 0.3750  8 Pm 3.46-3.68
Pm: 0.9244 0.0936 0.8831  2 Hg 2.99-3.00
Pm: 0.9587 0.5756 0.1693  2 Hg 2.99-3.00
Pm: 0.0756 0.9064 0.1169  2 Hg 2.99-3.00
Pm: 0.4244 0.0413 0.3307  2 Hg 2.99-3.00
Pm: 0.6169 0.0413 0.2106  2 Hg 2.99-3.00
Pm: 0.2106 0.6693 0.0936  2 Hg 2.99-3.00
Pm: 0.1169 0.7106 0.5413  2 Hg 2.99-3.00
Pm: 0.9587 0.3831 0.2894  2 Hg 2.99-3.00
Pm: 0.8307 0.9064 0.2894  2 Hg 2.99-3.00
Pm: 0.5936 0.7106 0.6693  2 Hg 2.99-3.00
Pm: 0.1169 0.4064 0.0756  2 Hg 2.99-3.00
Pm: 0.6693 0.4587 0.5756  2 Hg 2.99-3.00
Pm: 0.4587 0.7894 0.8831  2 Hg 2.99-3.00
Pm: 0.5936 0.8831 0.4244  2 Hg 2.99-3.00
Pm: 0.2894 0.4064 0.8307  2 Hg 2.99-3.00
Pm: 0.0936 0.9244 0.3831  2 Hg 2.99-3.00
Pm: 0.0413 0.6169 0.7106  2 Hg 2.99-3.00
Pm: 0.0756 0.1693 0.4587  2 Hg 2.99-3.00
Pm: 0.8307 0.9244 0.0413  2 Hg 2.99-3.00
Pm: 0.3831 0.4244 0.0936  2 Hg 2.99-3.00
Pm: 0.3307 0.5413 0.4244  2 Hg 2.99-3.00
Pm: 0.3307 0.7894 0.4064  2 Hg 2.99-3.00
Pm: 0.9064 0.0756 0.6169  2 Hg 2.99-3.00
Pm: 0.2894 0.8831 0.9587  2 Hg 2.99-3.00
Pm: 0.1693 0.0936 0.7106  2 Hg 2.99-3.00
Pm: 0.4064 0.2894 0.3307  2 Hg 2.99-3.00
Pm: 0.3831 0.9587 0.7894  2 Hg 2.99-3.00
Pm: 0.7106 0.1169 0.0413  2 Hg 2.99-3.00
Pm: 0.2106 0.5413 0.6169  2 Hg 2.99-3.00
Pm: 0.7894 0.3307 0.9064  2 Hg 2.99-3.00
Pm: 0.4244 0.3831 0.5936  2 Hg 2.99-3.00
Pm: 0.5756 0.9587 0.6693  2 Hg 2.99-3.00
Pm: 0.5756 0.6169 0.4064  2 Hg 2.99-3.00
Pm: 0.7106 0.5936 0.1693  2 Hg 2.99-3.00
Pm: 0.0936 0.1693 0.2106  2 Hg 2.99-3.00
Pm: 0.5413 0.3307 0.9244  2 Hg 2.99-3.00
Pm: 0.0413 0.4244 0.8307  2 Hg 2.99-3.00
Pm: 0.5413 0.2106 0.1169  2 Hg 2.99-3.00
Pm: 0.9064 0.8307 0.7894  2 Hg 2.99-3.00
Pm: 0.8831 0.2894 0.4587  2 Hg 2.99-3.00
Pm: 0.4587 0.6693 0.0756  2 Hg 2.99-3.00
Pm: 0.7894 0.4587 0.3831  2 Hg 2.99-3.00
Pm: 0.6693 0.2106 0.5936  2 Hg 2.99-3.00
Pm: 0.1693 0.0756 0.9587  2 Hg 2.99-3.00
Pm: 0.8831 0.5936 0.9244  2 Hg 2.99-3.00
Pm: 0.9244 0.8307 0.5413  2 Hg 2.99-3.00
Pm: 0.6169 0.5756 0.9064  2 Hg 2.99-3.00
Pm: 0.4064 0.1169 0.5756  2 Hg 2.99-3.00

Values from the calculation:
ΔE_f = 0.382 eV/atom
DOS(E_F) = 137.48 states/eV per cell
Space-group type = Ia-3d
Size of the total moment = 0.00 μB/f.u.
Crystal system = cubic

---

An optimized crystal structure of CaPm5Hg3. Source: the Alexandria database, functional PBE.

Cell: 7.0465 9.3393 9.3391 Å, 120.00 90.00 90.00°
With the nearest neighbours (Å) after each atom.
Sites, in units of the cell vectors:
Hg: 0.2500 0.0000 0.3341  3 Pm 3.11-3.12
Hg: 0.2500 0.6659 0.6659  3 Pm 3.11-3.12
Hg: 0.7500 0.3341 0.3341  3 Pm 3.11-3.12
Hg: 0.7500 0.0000 0.6659  3 Pm 3.11-3.12
Hg: 0.2500 0.3342 0.0000  3 Pm 3.11-3.12
Hg: 0.7500 0.6658 0.0000  3 Pm 3.11-3.12
Pm: 0.5000 0.6667 0.3334  8 Pm 3.52-3.58, 6 Hg 3.57
Pm: 0.5000 0.3333 0.6666  8 Pm 3.52-3.58, 6 Hg 3.57
Pm: 0.2500 0.0000 0.6678  3 Hg 3.11-3.12
Pm: 0.0000 0.6667 0.3334  8 Pm 3.52-3.58, 6 Hg 3.57
Pm: 0.7500 0.6678 0.6678  3 Hg 3.11-3.12
Pm: 0.7500 0.3322 0.0000  3 Hg 3.11-3.12
Pm: 0.2500 0.3322 0.3322  3 Hg 3.11-3.12
Pm: 0.7500 0.0000 0.3322  3 Hg 3.11-3.12
Pm: 0.2500 0.6678 0.0000  3 Hg 3.11-3.12
Pm: 0.0000 0.3333 0.6666  8 Pm 3.52-3.58, 6 Hg 3.57
Ca: 0.0000 0.0000 0.0000  2 Ca 3.52, 6 Pm 3.57, 6 Hg 3.58
Ca: 0.5000 0.0000 0.0000  2 Ca 3.52, 6 Pm 3.57, 6 Hg 3.58

Values from the calculation:
ΔE_f = -0.306 eV/atom
DOS(E_F) = 15.57 states/eV per cell
Space-group type = P6_3/mcm
Size of the total moment = 0.00 μB/f.u.
Crystal system = hexagonal

---

An optimized crystal structure of Ca2Pm2Hg7. Source: the Alexandria database, functional PBE.

Cell: 6.8641 7.9801 6.8641 Å, 90.01 114.53 89.99°
With the nearest neighbours (Å) after each atom.
Sites, in units of the cell vectors:
Pm: 0.2691 0.0000 0.7309  7 Hg 3.09-3.14
Pm: 0.7309 0.0000 0.2691  7 Hg 3.09-3.14
Hg: 0.4997 0.3162 0.0002  1 Hg 2.93, 2 Pm 3.14, 2 Ca 3.24
Hg: 0.0000 0.0000 0.0000  2 Pm 3.11
Hg: 0.5003 0.6838 0.9998  1 Hg 2.93, 2 Pm 3.14, 2 Ca 3.24
Hg: 0.9998 0.3162 0.5003  1 Hg 2.93, 2 Pm 3.14, 2 Ca 3.24
Hg: 0.5002 0.8050 0.4998  2 Ca 3.08, 2 Pm 3.09, 1 Hg 3.11
Hg: 0.4998 0.1950 0.5002  2 Ca 3.08, 2 Pm 3.09, 1 Hg 3.11
Hg: 0.0002 0.6838 0.4997  1 Hg 2.93, 2 Pm 3.14, 2 Ca 3.24
Ca: 0.2458 0.5000 0.2458  6 Hg 3.08-3.24
Ca: 0.7542 0.5000 0.7542  6 Hg 3.08-3.24

Values from the calculation:
ΔE_f = -0.194 eV/atom
DOS(E_F) = 7.51 states/eV per cell
Space-group type = Cmmm
Size of the total moment = 0.00 μB/f.u.
Crystal system = orthorhombic

---

An optimized crystal structure of CaPm3Hg12. Source: the Alexandria database, functional PBE.

Cell: 4.6805 4.6805 18.7288 Å, 90.00 90.00 90.00°
With the nearest neighbours (Å) after each atom.
Sites, in units of the cell vectors:
Hg: 0.5000 0.0000 0.3754  8 Hg 3.29-3.31, 4 Pm 3.31-3.35
Hg: 0.0000 0.5000 0.3754  8 Hg 3.29-3.31, 4 Pm 3.31-3.35
Hg: 0.5000 0.5000 0.5000  8 Hg 3.31, 4 Pm 3.31
Hg: 0.0000 0.5000 0.8740  2 Pm 3.27, 8 Hg 3.31-3.32, 2 Ca 3.32
Hg: 0.5000 0.5000 0.7479  8 Hg 3.29-3.32, 4 Pm 3.31
Hg: 0.5000 0.0000 0.6246  8 Hg 3.29-3.31, 4 Pm 3.31-3.35
Hg: 0.0000 0.5000 0.1260  2 Pm 3.27, 8 Hg 3.31-3.32, 2 Ca 3.32
Hg: 0.5000 0.5000 0.2521  8 Hg 3.29-3.32, 4 Pm 3.31
Hg: 0.0000 0.5000 0.6246  8 Hg 3.29-3.31, 4 Pm 3.31-3.35
Hg: 0.5000 0.5000 0.0000  4 Ca 3.31, 8 Hg 3.32
Hg: 0.5000 0.0000 0.1260  2 Pm 3.27, 8 Hg 3.31-3.32, 2 Ca 3.32
Hg: 0.5000 0.0000 0.8740  2 Pm 3.27, 8 Hg 3.31-3.32, 2 Ca 3.32
Pm: 0.0000 0.0000 0.7523  12 Hg 3.27-3.35
Pm: 0.0000 0.0000 0.2477  12 Hg 3.27-3.35
Pm: 0.0000 0.0000 0.5000  12 Hg 3.31
Ca: 0.0000 0.0000 0.0000  12 Hg 3.31-3.32

Values from the calculation:
ΔE_f = -0.354 eV/atom
DOS(E_F) = 11.98 states/eV per cell
Space-group type = P4/mmm
Size of the total moment = 0.00 μB/f.u.
Crystal system = tetragonal

---

What is the size of the total moment in the first record?
0.13 μB/f.u.